(w)
First-principles (PBE) data for an optimized crystal structure of ErTh3Sc6, as listed in Alexandria.

Results
Space-group type = R-3, No. 148
Crystal system = trigonal
Density = 6.5 g/cm³

a = 6.613 Å, b = 6.613 Å, c = 6.613 Å
α = 89.00°, β = 89.00°, γ = 89.00°
Fractional positions:
Er  0.000  0.000  0.000
Th  0.248  0.248  0.248
Th  0.500  0.500  0.500
Th  0.752  0.752  0.752
Sc  0.081  0.748  0.414
Sc  0.252  0.586  0.919
Sc  0.414  0.081  0.748
Sc  0.586  0.919  0.252
Sc  0.748  0.414  0.081
Sc  0.919  0.252  0.586

(x)
First-principles (PBE) data for an optimized crystal structure of ErTh3Sc6, as listed in Alexandria.

Results
Space-group type = Cmc2_1, No. 36
Crystal system = orthorhombic
Density = 6.7 g/cm³

a = 10.544 Å, b = 10.544 Å, c = 5.773 Å
α = 90.00°, β = 90.00°, γ = 119.57°
Fractional positions:
Er  0.201  0.799  0.500
Er  0.799  0.201  0.000
Th  0.060  0.283  0.371
Th  0.283  0.060  0.871
Th  0.389  0.611  0.439
Th  0.611  0.389  0.939
Th  0.717  0.940  0.371
Th  0.940  0.717  0.871
Sc  0.039  0.961  0.310
Sc  0.042  0.469  0.773
Sc  0.275  0.725  0.006
Sc  0.283  0.380  0.912
Sc  0.380  0.283  0.412
Sc  0.469  0.042  0.273
Sc  0.531  0.958  0.773
Sc  0.620  0.717  0.912
Sc  0.717  0.620  0.412
Sc  0.725  0.275  0.506
Sc  0.958  0.531  0.273
Sc  0.961  0.039  0.810

The data favor (x); the next most stable structure lies 275 meV per atom above it.

(w)
First-principles (PBE) data for an optimized crystal structure of Er3Th3Sc, as listed in Alexandria.

Results
Space-group type = R-3, No. 148
Crystal system = trigonal
Density = 9.0 g/cm³

a = 8.725 Å, b = 8.725 Å, c = 8.725 Å
α = 59.14°, β = 59.14°, γ = 59.14°
Fractional positions:
Er  0.063  0.560  0.738
Er  0.262  0.937  0.440
Er  0.440  0.262  0.937
Er  0.560  0.738  0.063
Er  0.738  0.063  0.560
Er  0.937  0.440  0.262
Th  0.065  0.793  0.299
Th  0.207  0.701  0.935
Th  0.299  0.065  0.793
Th  0.701  0.935  0.207
Th  0.793  0.299  0.065
Th  0.935  0.207  0.701
Sc  0.346  0.346  0.346
Sc  0.654  0.654  0.654

(x)
First-principles (PBE) data for an optimized crystal structure of Er3Th3Sc, as listed in Alexandria.

Results
Space-group type = P6_3/m, No. 176
Crystal system = hexagonal
Density = 9.6 g/cm³

a = 9.300 Å, b = 9.300 Å, c = 5.762 Å
α = 90.00°, β = 90.00°, γ = 120.00°
Fractional positions:
Er  0.093  0.619  0.250
Er  0.381  0.474  0.250
Er  0.474  0.093  0.750
Er  0.526  0.907  0.250
Er  0.619  0.526  0.750
Er  0.907  0.381  0.750
Th  0.052  0.813  0.750
Th  0.187  0.239  0.750
Th  0.239  0.052  0.250
Th  0.761  0.948  0.750
Th  0.813  0.761  0.250
Th  0.948  0.187  0.250
Sc  0.333  0.667  0.750
Sc  0.667  0.333  0.250

The data favor (x); the next most stable structure lies 285 meV per atom above it.

(w)
First-principles (PBE) data for an optimized crystal structure of Er5Th5Sc2, as listed in Alexandria.

Results
Space-group type = C2/m, No. 12
Crystal system = monoclinic
Density = 9.5 g/cm³

a = 6.514 Å, b = 6.514 Å, c = 11.847 Å
α = 106.87°, β = 106.87°, γ = 50.32°
Fractional positions:
Er  0.000  0.000  0.000
Er  0.042  0.042  0.714
Er  0.206  0.206  0.541
Er  0.794  0.794  0.459
Er  0.958  0.958  0.286
Th  0.250  0.250  0.253
Th  0.300  0.300  0.964
Th  0.500  0.500  0.500
Th  0.700  0.700  0.036
Th  0.750  0.750  0.747
Sc  0.453  0.453  0.785
Sc  0.547  0.547  0.215

(x)
First-principles (PBE) data for an optimized crystal structure of Er5Th5Sc2, as listed in Alexandria.

Results
Space-group type = C2/m, No. 12
Crystal system = monoclinic
Density = 9.5 g/cm³

a = 7.717 Å, b = 7.717 Å, c = 11.105 Å
α = 114.34°, β = 114.34°, γ = 37.73°
Fractional positions:
Er  0.000  0.000  0.000
Er  0.082  0.082  0.748
Er  0.170  0.170  0.505
Er  0.830  0.830  0.495
Er  0.918  0.918  0.252
Th  0.247  0.247  0.247
Th  0.333  0.333  0.996
Th  0.500  0.500  0.500
Th  0.667  0.667  0.004
Th  0.753  0.753  0.753
Sc  0.417  0.417  0.748
Sc  0.583  0.583  0.252

The data favor (x); the next most stable structure lies 29 meV per atom above it.

(w)
First-principles (PBE) data for an optimized crystal structure of ErTmThSc, as listed in Alexandria.

Results
Space-group type = F-43m, No. 216
Crystal system = cubic
Density = 8.6 g/cm³

a = 5.505 Å, b = 5.505 Å, c = 5.505 Å
α = 60.00°, β = 60.00°, γ = 60.00°
Fractional positions:
Er  0.000  0.000  0.000
Tm  0.750  0.750  0.750
Th  0.500  0.500  0.500
Sc  0.250  0.250  0.250

(x)
First-principles (PBE) data for an optimized crystal structure of ErTmThSc, as listed in Alexandria.

Results
Space-group type = R3m, No. 160
Crystal system = trigonal
Density = 8.7 g/cm³

a = 11.174 Å, b = 11.174 Å, c = 11.174 Å
α = 18.10°, β = 18.10°, γ = 18.10°
Fractional positions:
Er  0.000  0.000  0.000
Tm  0.247  0.247  0.247
Th  0.418  0.418  0.418
Sc  0.833  0.833  0.833

The data favor (x); the next most stable structure lies 83 meV per atom above it.

(w)
First-principles (PBE) data for an optimized crystal structure of YErThSc, as listed in Alexandria.

Results
Space-group type = R3m, No. 160
Crystal system = trigonal
Density = 7.4 g/cm³

a = 11.260 Å, b = 11.260 Å, c = 11.260 Å
α = 18.06°, β = 18.06°, γ = 18.06°
Fractional positions:
Y  0.000  0.000  0.000
Er  0.754  0.754  0.754
Th  0.171  0.171  0.171
Sc  0.584  0.584  0.584

(x)
First-principles (PBE) data for an optimized crystal structure of YErThSc, as listed in Alexandria.

Results
Space-group type = F-43m, No. 216
Crystal system = cubic
Density = 7.4 g/cm³

a = 5.538 Å, b = 5.538 Å, c = 5.538 Å
α = 60.00°, β = 60.00°, γ = 60.00°
Fractional positions:
Y  0.000  0.000  0.000
Er  0.250  0.250  0.250
Th  0.500  0.500  0.500
Sc  0.750  0.750  0.750

The data favor (w); the next most stable structure lies 103 meV per atom above it.

(w)
First-principles (PBE) data for an optimized crystal structure of ErThScZn, as listed in Alexandria.

Results
Space-group type = F-43m, No. 216
Crystal system = cubic
Density = 8.3 g/cm³

a = 5.248 Å, b = 5.248 Å, c = 5.248 Å
α = 60.00°, β = 60.00°, γ = 60.00°
Fractional positions:
Er  0.000  0.000  0.000
Th  0.500  0.500  0.500
Sc  0.250  0.250  0.250
Zn  0.750  0.750  0.750

(x)
First-principles (PBE) data for an optimized crystal structure of ErThScZn, as listed in Alexandria.

Results
Space-group type = P4mm, No. 99
Crystal system = tetragonal
Density = 8.5 g/cm³

a = 3.476 Å, b = 3.476 Å, c = 8.267 Å
α = 90.00°, β = 90.00°, γ = 90.00°
Fractional positions:
Er  0.000  0.000  0.000
Th  0.500  0.500  0.304
Sc  0.000  0.000  0.585
Zn  0.500  0.500  0.774

The data favor (x); the next most stable structure lies 199 meV per atom above it.

(w)
First-principles (PBE) data for an optimized crystal structure of Er2ScTi, as listed in Alexandria.

Results
Space-group type = R3m, No. 160
Crystal system = trigonal
Density = 7.0 g/cm³

a = 10.749 Å, b = 10.749 Å, c = 10.749 Å
α = 17.82°, β = 17.82°, γ = 17.82°
Fractional positions:
Er  0.000  0.000  0.000
Er  0.177  0.177  0.177
Sc  0.755  0.755  0.755
Ti  0.589  0.589  0.589

(x)
First-principles (PBE) data for an optimized crystal structure of Er2ScTi, as listed in Alexandria.

Results
Space-group type = P4/mmm, No. 123
Crystal system = tetragonal
Density = 7.1 g/cm³

a = 4.708 Å, b = 4.708 Å, c = 4.527 Å
α = 90.00°, β = 90.00°, γ = 90.00°
Fractional positions:
Er  0.000  0.500  0.000
Er  0.500  0.000  0.000
Sc  0.000  0.000  0.500
Ti  0.500  0.500  0.500

(y)
First-principles (PBE) data for an optimized crystal structure of Er2ScTi, as listed in Alexandria.

Results
Space-group type = Fm-3m, No. 225
Crystal system = cubic
Density = 6.9 g/cm³

a = 5.256 Å, b = 5.256 Å, c = 5.256 Å
α = 60.00°, β = 60.00°, γ = 60.00°
Fractional positions:
Er  0.250  0.250  0.250
Er  0.750  0.750  0.750
Sc  0.000  0.000  0.000
Ti  0.500  0.500  0.500

(z)
First-principles (PBE) data for an optimized crystal structure of Er2ScTi, as listed in Alexandria.

Results
Space-group type = P4/mmm, No. 123
Crystal system = tetragonal
Density = 7.0 g/cm³

a = 3.327 Å, b = 3.327 Å, c = 9.129 Å
α = 90.00°, β = 90.00°, γ = 90.00°
Fractional positions:
Er  0.000  0.000  0.230
Er  0.000  0.000  0.770
Sc  0.500  0.500  0.500
Ti  0.500  0.500  0.000

The data favor (z); the next most stable structure lies 20 meV per atom above it.

(w)
First-principles (PBE) data for an optimized crystal structure of ErSc4Tl, as listed in Alexandria.

Results
Space-group type = C2/c, No. 15
Crystal system = monoclinic
Density = 6.1 g/cm³

a = 5.700 Å, b = 5.700 Å, c = 11.041 Å
α = 103.85°, β = 103.85°, γ = 59.97°
Fractional positions:
Er  0.000  0.500  0.000
Er  0.500  0.000  0.500
Sc  0.167  0.670  0.496
Sc  0.251  0.424  0.749
Sc  0.330  0.833  0.004
Sc  0.424  0.251  0.249
Sc  0.576  0.749  0.751
Sc  0.670  0.167  0.996
Sc  0.749  0.576  0.251
Sc  0.833  0.330  0.504
Tl  0.078  0.922  0.250
Tl  0.922  0.078  0.750

(x)
First-principles (PBE) data for an optimized crystal structure of ErSc4Tl, as listed in Alexandria.

Results
Space-group type = C2/m, No. 12
Crystal system = monoclinic
Density = 6.1 g/cm³

a = 6.081 Å, b = 6.081 Å, c = 6.405 Å
α = 117.78°, β = 117.78°, γ = 47.96°
Fractional positions:
Er  0.000  0.000  0.000
Sc  0.304  0.304  0.663
Sc  0.347  0.347  0.190
Sc  0.653  0.653  0.810
Sc  0.696  0.696  0.337
Tl  0.000  0.000  0.500

The data favor (x); the next most stable structure lies 39 meV per atom above it.

(w)
First-principles (PBE) data for an optimized crystal structure of Er3ScTl4, as listed in Alexandria.

Results
Space-group type = P4/mmm, No. 123
Crystal system = tetragonal
Density = 11.0 g/cm³

a = 3.674 Å, b = 3.674 Å, c = 15.318 Å
α = 90.00°, β = 90.00°, γ = 90.00°
Fractional positions:
Er  0.000  0.000  0.000
Er  0.000  0.000  0.258
Er  0.000  0.000  0.742
Sc  0.000  0.000  0.500
Tl  0.500  0.500  0.129
Tl  0.500  0.500  0.385
Tl  0.500  0.500  0.615
Tl  0.500  0.500  0.871

(x)
First-principles (PBE) data for an optimized crystal structure of Er3ScTl4, as listed in Alexandria.

Results
Space-group type = Pmn2_1, No. 31
Crystal system = orthorhombic
Density = 10.7 g/cm³

a = 9.850 Å, b = 6.600 Å, c = 6.532 Å
α = 90.00°, β = 90.00°, γ = 90.00°
Fractional positions:
Er  0.000  0.001  0.000
Er  0.250  0.259  0.251
Er  0.250  0.741  0.751
Er  0.500  0.999  0.500
Er  0.750  0.259  0.251
Er  0.750  0.741  0.751
Sc  0.000  0.501  0.002
Sc  0.500  0.499  0.502
Tl  0.000  0.000  0.500
Tl  0.000  0.500  0.502
Tl  0.250  0.249  0.751
Tl  0.250  0.751  0.251
Tl  0.500  0.000  0.000
Tl  0.500  0.500  0.002
Tl  0.750  0.249  0.751
Tl  0.750  0.751  0.251

The data favor (w); the next most stable structure lies 108 meV per atom above it.

(w)
First-principles (PBE) data for an optimized crystal structure of ErScTl, as listed in Alexandria.

Results
Space-group type = P6_3/mmc, No. 194
Crystal system = hexagonal
Density = 9.1 g/cm³

a = 5.180 Å, b = 5.180 Å, c = 6.558 Å
α = 90.00°, β = 90.00°, γ = 120.00°
Fractional positions:
Er  0.000  0.000  0.000
Er  0.000  0.000  0.500
Sc  0.333  0.667  0.250
Sc  0.667  0.333  0.750
Tl  0.333  0.667  0.750
Tl  0.667  0.333  0.250

(x)
First-principles (PBE) data for an optimized crystal structure of ErScTl, as listed in Alexandria.

Results
Space-group type = P3m1, No. 156
Crystal system = trigonal
Density = 8.7 g/cm³

a = 5.049 Å, b = 5.049 Å, c = 3.616 Å
α = 90.00°, β = 90.00°, γ = 120.00°
Fractional positions:
Er  0.000  0.000  0.000
Sc  0.667  0.333  0.500
Tl  0.333  0.667  0.499

The data favor (w); the next most stable structure lies 105 meV per atom above it.

(w)
First-principles (PBE) data for an optimized crystal structure of ErScTl, as listed in Alexandria.

Results
Space-group type = Pnma, No. 62
Crystal system = orthorhombic
Density = 8.7 g/cm³

a = 7.807 Å, b = 4.504 Å, c = 9.072 Å
α = 90.00°, β = 90.00°, γ = 90.00°
Fractional positions:
Er  0.031  0.250  0.173
Er  0.469  0.750  0.673
Er  0.531  0.250  0.327
Er  0.969  0.750  0.827
Sc  0.138  0.250  0.563
Sc  0.362  0.750  0.063
Sc  0.638  0.250  0.937
Sc  0.862  0.750  0.437
Tl  0.243  0.750  0.372
Tl  0.257  0.250  0.872
Tl  0.743  0.750  0.128
Tl  0.757  0.250  0.628

(x)
First-principles (PBE) data for an optimized crystal structure of ErScTl, as listed in Alexandria.

Results
Space-group type = I4mm, No. 107
Crystal system = tetragonal
Density = 8.8 g/cm³

a = 7.044 Å, b = 7.044 Å, c = 7.044 Å
α = 151.73°, β = 151.73°, γ = 40.41°
Fractional positions:
Er  0.000  0.000  0.000
Sc  0.677  0.677  0.000
Tl  0.329  0.329  0.000

The data favor (w); the next most stable structure lies 37 meV per atom above it.